Below is a geometry-optimized BeSiOs2 structure, with properties calculated at the PBE level.

Summary:
**Electronic total energy**: -8.16 eV/atom
**Total magnetic moment**: 0.00 μB per cell

Geometry as CIF:
```
data_BeSiOs2
_cell_length_a 4.076
_cell_length_b 4.076
_cell_length_c 2.892
_cell_angle_alpha 90.00
_cell_angle_beta 90.00
_cell_angle_gamma 90.00
_space_group_name_H-M_alt 'P 4/m m m'
_space_group_IT_number 123
_space_group_name_Hall '-P 4 2'
loop_
_atom_site_label
_atom_site_type_symbol
_atom_site_fract_x
_atom_site_fract_y
_atom_site_fract_z
Be1 Be 0.000 0.000 0.000
Si1 Si 0.500 0.500 0.000
Os1 Os 0.000 0.500 0.500
```

=====

Below is a geometry-optimized SmSn structure, with properties calculated at the PBE level.

Summary:
**Electronic total energy**: -4.84 eV/atom
**Total magnetic moment**: 0.01 μB per cell

Geometry as CIF:
```
data_SmSn
_cell_length_a 3.6231
_cell_length_b 3.6231
_cell_length_c 5.1048
_cell_angle_alpha 90.00
_cell_angle_beta 90.00
_cell_angle_gamma 120.00
_space_group_name_H-M_alt 'P -6 m 2'
_space_group_IT_number 187
_space_group_name_Hall 'P -6 2'
loop_
_atom_site_label
_atom_site_type_symbol
_atom_site_fract_x
_atom_site_fract_y
_atom_site_fract_z
Sm1 Sm 0.0000 0.0000 0.0000
Sn1 Sn 0.6667 0.3333 0.5000
```

=====

Below is a geometry-optimized LiFeSbIr structure, with properties calculated at the PBE level.

Summary:
**Electronic total energy**: -5.88 eV/atom
**Total magnetic moment**: 0.01 μB per cell

Geometry as CIF:
```
data_LiFeSbIr
_cell_length_a 6.067
_cell_length_b 6.067
_cell_length_c 6.067
_cell_angle_alpha 90.00
_cell_angle_beta 90.00
_cell_angle_gamma 90.00
_space_group_name_H-M_alt 'F -4 3 m'
_space_group_IT_number 216
_space_group_name_Hall 'F -4 2 3'
loop_
_atom_site_label
_atom_site_type_symbol
_atom_site_fract_x
_atom_site_fract_y
_atom_site_fract_z
Li1 Li 0.000 0.000 0.000
Fe1 Fe 0.250 0.250 0.750
Sb1 Sb 0.000 0.000 0.500
Ir1 Ir 0.250 0.250 0.250
```

=====

Below is a geometry-optimized Li4Al3Pd structure, with properties calculated at the PBE level.

Summary:
**Electronic total energy**: -3.39 eV/atom

Geometry as CIF:
```
data_Li4Al3Pd
_cell_length_a 4.338
_cell_length_b 4.338
_cell_length_c 6.231
_cell_angle_alpha 90.00
_cell_angle_beta 90.00
_cell_angle_gamma 90.00
_space_group_name_H-M_alt 'P -4 m 2'
_space_group_IT_number 115
loop_
_space_group_symop_operation_xyz
'x,y,z'
'y,-x,-z'
'-x,-y,z'
'-y,x,-z'
'-x,y,z'
'-y,-x,-z'
'x,-y,z'
'y,x,-z'
loop_
_atom_site_label
_atom_site_type_symbol
_atom_site_fract_x
_atom_site_fract_y
_atom_site_fract_z
Li1 Li 0.000 0.000 0.000
Li2 Li 0.000 0.500 0.743
Li3 Li 0.500 0.500 0.500
Al1 Al 0.000 0.500 0.269
Al2 Al 0.500 0.500 0.000
Pd1 Pd 0.000 0.000 0.500
```